(1)
DFT (GGA-PBE) results for a relaxed Ta2P crystal.

Output
The calculation puts the density at 12.582 Mg/m³. For the formation enthalpy at 0 K, the calculation gives -389 meV per atom. The total DFT energy (no corrections) is -0.3709 Ha/atom.

Geometry as CIF:
```
data_Ta2P
_chemical_formula_sum 'Ta2 P1'
_cell_length_a 3.397
_cell_length_b 3.397
_cell_length_c 5.190
_cell_angle_alpha 90.00
_cell_angle_beta 90.00
_cell_angle_gamma 120.00
_symmetry_space_group_name_H-M 'P 1'
_symmetry_Int_Tables_number 1
loop_
_symmetry_equiv_pos_as_xyz
'x,y,z'
loop_
_atom_site_label
_atom_site_fract_x
_atom_site_fract_y
_atom_site_fract_z
Ta1 0.667 0.333 0.713
Ta2 0.333 0.667 0.287
P1 0.000 0.000 0.000
```



(2)
DFT (GGA-PBE) results for a relaxed ReRh crystal.

Output
The calculation puts the density at 16.449 Mg/m³. The polymorph energy (0 for the lowest one) is 89 meV/atom. For the formation enthalpy at 0 K, the calculation gives -88 meV per atom. The total DFT energy (no corrections) is -0.3670 Ha/atom.

Geometry as CIF:
```
data_ReRh
_chemical_formula_sum 'Re2 Rh2'
_cell_length_a 2.763
_cell_length_b 2.763
_cell_length_c 8.831
_cell_angle_alpha 90.00
_cell_angle_beta 90.00
_cell_angle_gamma 120.00
_symmetry_space_group_name_H-M 'P 1'
_symmetry_Int_Tables_number 1
loop_
_symmetry_equiv_pos_as_xyz
'x,y,z'
loop_
_atom_site_label
_atom_site_fract_x
_atom_site_fract_y
_atom_site_fract_z
Re1 0.000 0.000 0.000
Re2 0.333 0.667 0.250
Rh1 0.000 0.000 0.495
Rh2 0.333 0.667 0.755
```